# 1
! TlCuRhS3, optimized geometry, DFT PBE; values from VASP
! Crystal system: orthorhombic
&SYSTEM
  ibrav = 0, nat = 12, ntyp = 4
/
ATOMIC_SPECIES
Tl 204.38 Tl.upf
Rh 102.91 Rh.upf
S 32.06 S.upf
Cu 63.55 Cu.upf
CELL_PARAMETERS angstrom
3.622 0.000 0.000
-1.811 7.138 0.000
0.000 0.000 9.356
ATOMIC_POSITIONS crystal
Tl 0.753 0.505 0.750
Tl 0.247 0.495 0.250
Rh 0.000 0.000 0.500
Rh 0.000 0.000 0.000
S 0.937 0.873 0.250
S 0.389 0.778 0.961
S 0.389 0.778 0.539
S 0.611 0.222 0.039
S 0.063 0.127 0.750
S 0.611 0.222 0.461
Cu 0.465 0.931 0.750
Cu 0.535 0.069 0.250

=====

# 2
! Tl2Cu2RhS4, optimized geometry, DFT PBE; values from VASP
! Crystal system: monoclinic
&SYSTEM
  ibrav = 0, nat = 9, ntyp = 4
/
ATOMIC_SPECIES
Cu 63.55 Cu.upf
Tl 204.38 Tl.upf
S 32.06 S.upf
Rh 102.91 Rh.upf
CELL_PARAMETERS angstrom
-3.678 -0.103 -0.754
-0.811 -5.586 4.717
1.002 6.284 3.606
ATOMIC_POSITIONS crystal
Cu 0.311 0.012 0.623
Cu 0.689 0.988 0.377
Tl 0.869 0.459 0.737
Tl 0.131 0.541 0.263
S 0.815 0.835 0.629
S 0.517 0.800 0.034
S 0.483 0.200 0.966
S 0.185 0.165 0.371
Rh 0.000 0.000 0.000

=====

# 3
! UCuRhS4, optimized geometry, DFT PBE; values from VASP
! Crystal system: orthorhombic
&SYSTEM
  ibrav = 0, nat = 14, ntyp = 4
/
ATOMIC_SPECIES
S 32.06 S.upf
Cu 63.55 Cu.upf
Rh 102.91 Rh.upf
U 238.03 U.upf
CELL_PARAMETERS angstrom
7.532 0.000 0.000
3.766 5.919 -0.481
3.766 1.345 5.784
ATOMIC_POSITIONS crystal
S 0.715 0.237 0.333
S 0.264 0.724 0.224
S 0.788 0.724 0.224
S 0.285 0.167 0.263
S 0.285 0.763 0.667
S 0.736 0.276 0.776
S 0.715 0.833 0.737
S 0.212 0.276 0.776
Cu 0.329 0.421 0.921
Cu 0.671 0.579 0.079
Rh 0.000 0.000 0.500
Rh 0.500 0.000 0.500
U 0.000 0.000 0.000
U 0.000 0.500 0.500

=====

Computed raw total energy (eV per atom) in order:
-4.62; -4.37; -6.42
Computed E_form (uncorrected) (eV/atom) in order:
-0.256; -0.284; -0.810